No. 1
The following is a GGA-PBE calculation of an optimized crystal structure of In7Hg12Bi, from the Alexandria database.

* DOS(E_F): 0.40 states/eV/atom
* size of the total moment: 0.000 μB per atom
* energy of formation from the pure elements: 0.735 eV per formula unit

Lattice parameters (Å, degrees): 15.8885 15.8885 7.8792 90.00 90.00 120.00
Space group R-3 (No. 148, hexagonal axes)
Unique sites:
In 0.0000 0.0000 0.0000
In 0.0974 0.1962 0.2798
Hg 0.0214 0.2907 0.5245
Hg 0.1048 0.5566 0.5430
Bi 0.0000 0.0000 0.5000

=====

No. 2
The following is a GGA-PBE calculation of an optimized crystal structure of CaMnCuP, from the Alexandria database.

* DOS(E_F): 0.46 states/eV/atom
* size of the total moment: 0.415 μB per atom
* energy of formation from the pure elements: -1.936 eV per formula unit

Lattice parameters (Å, degrees): 3.641 3.641 10.640 90.00 90.00 90.00
Space group P4/nmm (No. 129, origin choice 2)
Unique sites:
Ca 0.250 0.250 0.239
Mn 0.250 0.750 0.500
Cu 0.250 0.750 0.000
P 0.250 0.250 0.630

=====

No. 3
The following is a GGA-PBE calculation of an optimized crystal structure of Ac2SmYTe6, from the Alexandria database.

* formation energy from raw total energies: -1.45 eV per atom
* DOS(E_F): 0.00 states/eV/atom
* size of the total moment: 0.000 μB per atom

Lattice parameters (Å, degrees): 8.1363 8.1363 21.3250 90.00 90.00 120.00
Space group R3 (No. 146, hexagonal axes)
Unique sites:
Ac 0.0000 0.0000 0.0000
Ac 0.0000 0.0000 0.4993
Sm 0.0000 0.0000 0.2989
Y 0.0000 0.0000 0.7997
Te 0.0116 0.3841 0.0581
Te 0.0180 0.6315 0.5571

=====

No. 4
The following is a GGA-PBE calculation of an optimized crystal structure of SrSn2AsIr, from the Alexandria database.

* DOS(E_F): 0.50 states/eV/atom
* size of the total moment: 0.000 μB per atom
* energy of formation from the pure elements: 3.612 eV per formula unit

Lattice parameters (Å, degrees): 5.248 5.248 5.615 90.00 90.00 90.00
Space group P4/mmm (No. 123)
Unique sites:
Sr 0.000 0.000 0.000
Sn 0.000 0.500 0.500
As 0.000 0.000 0.500
Ir 0.500 0.500 0.000